{
  "formula": "SrLiGa2Os",
  "functional": "GGA-PBE",
  "state": "relaxed",
  "e_form_ev_per_atom": -0.18,
  "total_energy_ev_per_atom": -4.36,
  "cell": [[4.815, 0.000, 0.000], [0.000, 4.815, 0.000], [0.000, 0.000, 4.920]],
  "species": ["Sr", "Li", "Ga", "Ga", "Os"],
  "frac_coords": [[0.000, 0.000, 0.000], [0.500, 0.500, 0.000], [0.000, 0.500, 0.500], [0.500, 0.000, 0.500], [0.500, 0.500, 0.500]]
}